A relaxed structure of Ca5Tl4In, computed with PBE-GGA.

```
Ca5Tl4In
1.0
-0.0415 0.8877 -3.7910
-2.6522 -2.7821 -0.6224
-14.1593 12.7936 3.1504
Tl Ca In
4 5 1
Cartesian
-2.8104 2.5393 0.6253
-5.6595 5.1136 1.2592
-8.4998 7.6800 1.8912
-11.3489 10.2543 2.5251
-8.4265 5.4496 -0.6315
-5.5823 2.8797 -1.2643
-14.1071 10.5822 0.6324
-11.2707 8.0195 0.0013
-2.7459 0.3169 -1.8954
0.0000 0.0000 0.0000
```

Values from the calculation:
M_tot (μB per formula unit): 0.00
Density (g/cm3): 6.41
Symmetry: P4/mmm, No. 123
DFT formation energy (eV/atom): -0.447

***

A relaxed structure of CaTmTlIn, computed with PBE-GGA.

```
CaTmTlIn
1.0
5.3779 0.0000 0.0000
2.6889 4.6574 0.0000
2.6889 1.5525 4.3910
In Ca Tm Tl
1 1 1 1
Cartesian
5.3779 3.1049 2.1955
8.0668 4.6574 3.2933
2.6889 1.5525 1.0978
0.0000 0.0000 0.0000
```

Values from the calculation:
M_tot (μB per formula unit): 0.00
Density (g/cm3): 7.98
Symmetry: F-43m, No. 216
DFT formation energy (eV/atom): -0.386

***

A relaxed structure of CaTlVIn2, computed with PBE-GGA.

```
CaTlVIn2
1.0
5.3218 0.0000 0.0000
0.0000 5.5848 0.0000
0.0000 0.0000 5.3218
Tl In Ca V
1 2 1 1
Cartesian
2.6609 2.7924 2.6609
2.6609 0.0000 0.0000
0.0000 0.0000 2.6609
0.0000 2.7924 0.0000
0.0000 0.0000 0.0000
```

Values from the calculation:
M_tot (μB per formula unit): 3.32
Density (g/cm3): 5.51
Symmetry: P4/mmm, No. 123
DFT formation energy (eV/atom): 0.352

***

A relaxed structure of CaYTlIn, computed with PBE-GGA.

```
CaYTlIn
1.0
-5.1619 1.2052 -1.0909
-3.9393 -3.4214 1.4364
-3.3824 1.3016 4.0191
In Y Tl Ca
1 1 1 1
Cartesian
-6.2418 -0.4573 2.1823
-9.3627 -0.6860 3.2734
0.0000 0.0000 0.0000
-3.1209 -0.2287 1.0911
```

Values from the calculation:
M_tot (μB per formula unit): 0.00
Density (g/cm3): 6.64
Symmetry: F-43m, No. 216
DFT formation energy (eV/atom): -0.422
Relative energy among the computed polymorphs (meV/atom): 28

***

A relaxed structure of CaYTlIn, computed with PBE-GGA.

```
CaYTlIn
1.0
-0.4989 3.3425 -1.7769
-0.3883 -1.8280 -3.3296
-7.5836 -0.5123 1.1657
Ca Tl Y In
1 1 1 1
Cartesian
-6.5026 -0.4392 0.9995
-5.0135 0.4485 -1.8508
-2.6924 -0.1819 0.4138
-1.2996 0.6994 -2.4217
```

Values from the calculation:
M_tot (μB per formula unit): 0.00
Density (g/cm3): 6.64
Symmetry: P4mm, No. 99
DFT formation energy (eV/atom): -0.450
Relative energy among the computed polymorphs (meV/atom): 0

***

A relaxed structure of CaTlZnIn, computed with PBE-GGA.

```
CaTlZnIn
1.0
-2.1464 -3.4279 -3.2964
3.0360 -3.2613 -2.7148
0.0356 -5.0911 1.1417
Tl Ca Zn In
1 1 1 1
Cartesian
0.4626 -5.8901 -2.4347
0.6939 -8.8352 -3.6521
0.0000 0.0000 0.0000
0.2313 -2.9451 -1.2174
```

Values from the calculation:
M_tot (μB per formula unit): 0.00
Density (g/cm3): 7.02
Symmetry: F-43m, No. 216
DFT formation energy (eV/atom): -0.185

***

A relaxed structure of CaTm2In, computed with PBE-GGA.

```
CaTm2In
1.0
5.4846 0.0000 0.0000
2.7423 4.7498 0.0000
2.7423 1.5833 4.4766
Ca In Tm
1 1 2
Cartesian
5.4846 3.1665 2.2373
8.2269 4.7498 3.3578
8.2269 4.7498 0.0013
2.7423 1.5833 1.1185
```

Values from the calculation:
M_tot (μB per formula unit): 0.00
Density (g/cm3): 7.02
Symmetry: F-43m, No. 216
DFT formation energy (eV/atom): -0.076
Relative energy among the computed polymorphs (meV/atom): 108

***

A relaxed structure of CaTm2In, computed with PBE-GGA.

```
CaTm2In
1.0
3.5474 0.0000 0.0000
1.7737 3.0721 0.0000
1.7737 1.0240 11.6821
Tm Ca In
2 1 1
Cartesian
1.7737 1.0240 8.2963
5.3211 3.0721 3.3858
0.0000 0.0000 0.0000
3.5474 2.0481 5.8410
```

Values from the calculation:
M_tot (μB per formula unit): 0.00
Density (g/cm3): 6.43
Symmetry: R-3m, No. 166
DFT formation energy (eV/atom): 0.051
Relative energy among the computed polymorphs (meV/atom): 235

***

Q: Which of these has the highest density?
A: CaTmTlIn

***

Q: density of number 2 (CaTmTlIn)?
A: 7.98 g/cm3

***

Q: Which of these has the highest M_tot?
A: CaTlVIn2

***

Q: Which formula does entry 1 have?
A: Ca5Tl4In